PmCo2OsO8 after structural relaxation, computed with PBE+U.

```
PmCo2OsO8
1.0
4.752 0.292 -0.192
0.329 4.749 -0.196
-0.256 -0.248 6.752
O Os Co Pm
8 1 2 1
Direct
0.793 0.216 0.790
0.783 0.206 0.210
0.325 0.326 0.502
0.217 0.794 0.790
0.675 0.674 0.498
0.253 0.254 0.039
0.747 0.746 0.961
0.207 0.784 0.210
0.000 0.000 0.000
0.531 0.531 0.724
0.469 0.469 0.276
0.000 0.000 0.500
```

Calculated values
DFT total energy in eV per atom: -6.8525